A plane-wave DFT calculation with PBE was carried out for FeAsPd2 after structural relaxation.

Results
The symmetry is P4/mmm. For the raw total energy, the calculation gives -5.9596 eV per atom.

Cell and atoms, written as POSCAR:
```
FeAsPd2
1.0
-2.611 1.690 -1.186
-1.751 -2.825 -0.170
-1.802 0.809 5.122
Pd As Fe
2 1 1
Direct
0.000 0.000 0.258
0.000 0.000 0.742
0.500 0.500 0.000
0.500 0.500 0.500
```